[1]
Here is an optimized crystal structure of MgO from Alexandria. Energies are from GGA-PBE.

Lattice parameters (Å, degrees): 5.568 5.568 3.298 90.00 90.00 90.00
Sites, in units of the cell vectors:
Mg  0.179  0.179  0.000
Mg  0.321  0.679  0.500
Mg  0.679  0.321  0.500
Mg  0.821  0.821  0.000
O  0.184  0.816  0.000
O  0.316  0.316  0.500
O  0.684  0.684  0.500
O  0.816  0.184  0.000

Computed properties:
Crystal system: tetragonal
Uncorrected formation energy (eV/atom): -2.614

[2]
Here is an optimized crystal structure of TbZnPt4 from Alexandria. Energies are from GGA-PBE.

Lattice parameters (Å, degrees): 8.226 8.226 6.711 90.00 90.00 152.43
Sites, in units of the cell vectors:
Tb  0.104  0.896  0.750
Tb  0.896  0.104  0.250
Zn  0.235  0.765  0.250
Zn  0.765  0.235  0.750
Pt  0.073  0.927  0.250
Pt  0.327  0.673  0.544
Pt  0.327  0.673  0.956
Pt  0.500  0.500  0.000
Pt  0.500  0.500  0.500
Pt  0.673  0.327  0.044
Pt  0.673  0.327  0.456
Pt  0.927  0.073  0.750

Computed properties:
Crystal system: orthorhombic

Looking at DFT total energy for the records above, in order, we have -5.891 -5.751 eV per atom.